[1]
A crystal of TlPN2 relaxed with PBEsol, computed with SCAN.

Summary:
Raw total energy: -25.58 eV per atom
Formation energy without anion corrections: -245 meV per atom
Magnetization: 0.00 μB/atom
Symmetry: No. 122

abc: 5.258 5.258 5.258
angles: 119.70 119.70 90.52
Fractional positions:
Tl (0.000, 0.000, 0.000)
Tl (0.750, 0.250, 0.500)
P (0.250, 0.750, 0.500)
P (0.500, 0.500, 0.000)
N (0.325, 0.625, 0.200)
N (0.375, 0.575, 0.700)
N (0.425, 0.125, 0.800)
N (0.875, 0.675, 0.300)

---

[2]
A crystal of Ba2ReSi relaxed with PBEsol, computed with SCAN.

Summary:
Raw total energy: -39.73 eV per atom
Formation energy without anion corrections: 323 meV per atom
Magnetization: 0.00 μB/atom
Symmetry: No. 44

abc: 6.347 6.347 6.347
angles: 143.82 130.77 62.60
Fractional positions:
Ba (0.000, 0.000, 0.000)
Ba (0.702, 0.202, 0.500)
Re (0.296, 0.796, 0.500)
Si (0.412, 0.412, 0.000)

---

[3]
A crystal of MgCr2Bi2 relaxed with PBEsol, computed with SCAN.

Summary:
Raw total energy: -39.31 eV per atom
ΔE_f: 0.467 eV per atom
Magnetization: 0.00 μB/atom
Symmetry: No. 139

abc: 9.170 9.170 9.170
angles: 158.47 158.47 30.63
Fractional positions:
Mg (0.000, 0.000, 0.000)
Cr (0.250, 0.750, 0.500)
Cr (0.750, 0.250, 0.500)
Bi (0.375, 0.375, 0.000)
Bi (0.625, 0.625, 0.000)

---

[4]
A crystal of ZnCd relaxed with PBEsol, computed with SCAN.

Summary:
Raw total energy: -21.85 eV per atom
ΔE_f: 0.119 eV per atom
Magnetization: 0.00 μB/atom
Symmetry: No. 141

abc: 5.103 5.103 5.103
angles: 132.59 132.59 69.30
Fractional positions:
Zn (0.375, 0.625, 0.750)
Zn (0.625, 0.375, 0.250)
Cd (0.125, 0.875, 0.250)
Cd (0.875, 0.125, 0.750)

---

[5]
A crystal of TaPRh relaxed with PBEsol, computed with SCAN.

Summary:
Raw total energy: -37.75 eV per atom
ΔE_f: -0.836 eV per atom
Magnetization: 0.00 μB/atom
Symmetry: No. 62

abc: 6.237 3.741 7.123
angles: 90.00 90.00 90.00
Fractional positions:
Ta (0.030, 0.250, 0.168)
Ta (0.470, 0.750, 0.668)
Ta (0.530, 0.250, 0.332)
Ta (0.970, 0.750, 0.832)
P (0.237, 0.750, 0.374)
P (0.263, 0.250, 0.874)
P (0.737, 0.750, 0.126)
P (0.763, 0.250, 0.626)
Rh (0.148, 0.250, 0.563)
Rh (0.352, 0.750, 0.063)
Rh (0.648, 0.250, 0.937)
Rh (0.852, 0.750, 0.437)

---

[6]
A crystal of Zr2TaTl relaxed with PBEsol, computed with SCAN.

Summary:
Raw total energy: -50.19 eV per atom
ΔE_f: -0.103 eV per atom
Magnetization: 0.00 μB/atom
Symmetry: No. 123
Excess energy over the best structure of this formula in the dataset: 0.0000 eV per atom

abc: 3.525 3.525 6.682
angles: 90.00 90.00 90.00
Fractional positions:
Zr (0.000, 0.000, 0.233)
Zr (0.000, 0.000, 0.767)
Ta (0.500, 0.500, 0.000)
Tl (0.500, 0.500, 0.500)

---

[7]
A crystal of KCaCd2 relaxed with PBEsol, computed with SCAN.

Summary:
Raw total energy: -19.80 eV per atom
ΔE_f: -0.093 eV per atom
Magnetization: 0.00 μB/atom
Symmetry: No. 225
Excess energy over the best structure of this formula in the dataset: 0.0000 eV per atom

abc: 5.550 5.550 5.550
angles: 60.00 60.00 60.00
Fractional positions:
K (0.000, 0.000, 0.000)
Ca (0.500, 0.500, 0.500)
Cd (0.250, 0.250, 0.250)
Cd (0.750, 0.750, 0.750)

---

[8]
A crystal of InPbBr2 relaxed with PBEsol, computed with SCAN.

Summary:
Raw total energy: -37.45 eV per atom
Formation energy without anion corrections: -433 meV per atom
Magnetization: 0.00 μB/atom
Symmetry: No. 160
Excess energy over the best structure of this formula in the dataset: 0.0226 eV per atom

abc: 10.089 10.089 10.089
angles: 21.33 21.33 21.33
Fractional positions:
In (0.000, 0.000, 0.000)
Pb (0.239, 0.239, 0.239)
Br (0.502, 0.502, 0.502)
Br (0.731, 0.731, 0.731)

---

[9]
A crystal of CeIr3 relaxed with PBEsol, computed with SCAN.

Summary:
Raw total energy: -65.19 eV per atom
ΔE_f: -0.720 eV per atom
Magnetization: 0.00 μB/atom
Symmetry: No. 166

abc: 9.248 9.248 9.248
angles: 33.05 33.05 33.05
Fractional positions:
Ce (0.000, 0.000, 0.000)
Ce (0.139, 0.139, 0.139)
Ce (0.861, 0.861, 0.861)
Ir (0.081, 0.583, 0.583)
Ir (0.333, 0.333, 0.333)
Ir (0.417, 0.417, 0.919)
Ir (0.417, 0.919, 0.417)
Ir (0.500, 0.500, 0.500)
Ir (0.583, 0.081, 0.583)
Ir (0.583, 0.583, 0.081)
Ir (0.667, 0.667, 0.667)
Ir (0.919, 0.417, 0.417)

---

[10]
A crystal of BaHg2Cl2O2 relaxed with PBEsol, computed with SCAN.

Summary:
Raw total energy: -30.61 eV per atom
Formation energy without anion corrections: -1424 meV per atom
Magnetization: 0.00 μB/atom
Symmetry: No. 127

abc: 11.908 11.908 4.258
angles: 90.00 90.00 90.00
Fractional positions:
Ba (0.135, 0.365, 0.000)
Ba (0.365, 0.865, 0.000)
Ba (0.635, 0.135, 0.000)
Ba (0.865, 0.635, 0.000)
Hg (0.080, 0.827, 0.500)
Hg (0.173, 0.080, 0.500)
Hg (0.327, 0.580, 0.500)
Hg (0.420, 0.327, 0.500)
Hg (0.580, 0.673, 0.500)
Hg (0.673, 0.420, 0.500)
Hg (0.827, 0.920, 0.500)
Hg (0.920, 0.173, 0.500)
Cl (0.000, 0.000, 0.000)
Cl (0.000, 0.500, 0.500)
Cl (0.173, 0.673, 0.000)
Cl (0.327, 0.173, 0.000)
Cl (0.500, 0.000, 0.500)
Cl (0.500, 0.500, 0.000)
Cl (0.673, 0.827, 0.000)
Cl (0.827, 0.327, 0.000)
O (0.085, 0.230, 0.500)
O (0.230, 0.915, 0.500)
O (0.270, 0.415, 0.500)
O (0.415, 0.730, 0.500)
O (0.585, 0.270, 0.500)
O (0.730, 0.585, 0.500)
O (0.770, 0.085, 0.500)
O (0.915, 0.770, 0.500)

---

[11]
A crystal of BaRhC2 relaxed with PBEsol, computed with SCAN.

Summary:
Raw total energy: -22.79 eV per atom
ΔE_f: 0.585 eV per atom
Magnetization: 0.00 μB/atom
Symmetry: No. 122

abc: 6.611 6.611 6.611
angles: 134.82 134.82 65.81
Fractional positions:
Ba (0.000, 0.000, 0.000)
Ba (0.750, 0.250, 0.500)
Rh (0.250, 0.750, 0.500)
Rh (0.500, 0.500, 0.000)
C (0.322, 0.625, 0.197)
C (0.375, 0.572, 0.697)
C (0.428, 0.125, 0.803)
C (0.875, 0.678, 0.303)

---

[12]
A crystal of YOs3Cl relaxed with PBEsol, computed with SCAN.

Summary:
Raw total energy: -49.07 eV per atom
Formation energy without anion corrections: 1226 meV per atom
Magnetization: 0.00 μB/atom
Symmetry: No. 221

abc: 4.400 4.400 4.400
angles: 90.00 90.00 90.00
Fractional positions:
Y (0.000, 0.000, 0.000)
Os (0.000, 0.500, 0.500)
Os (0.500, 0.000, 0.500)
Os (0.500, 0.500, 0.000)
Cl (0.500, 0.500, 0.500)